The following is a DFT calculation (PBE+U) of a relaxed Sr3Ti2Mn2BiO12 crystal.

## Properties
The calculated total energy comes out at -7.349 eV per atom. The calculation puts the magnetization at 0.35 μB per atom.

Structure (extended XYZ):
```
20
Lattice="-8.470 -2.327 3.798 -8.738 -3.554 -1.613 -6.206 -7.032 1.902" Properties=species:S:1:pos:R:3 pbc="T T T"
Sr -17.519 -9.662 3.057
Sr -11.707 -6.457 2.043
Sr -5.896 -3.251 1.029
Ti -2.918 -1.609 0.509
Ti -20.497 -11.304 3.577
Mn -14.641 -8.074 2.555
Mn -8.774 -4.839 1.531
Bi 0.000 0.000 0.000
O -10.194 -4.980 0.187
O -7.338 -4.679 2.850
O -4.369 -1.777 -0.807
O -13.221 -7.933 3.899
O -8.604 -2.940 1.092
O -14.505 -6.169 2.116
O -8.909 -6.744 1.970
O -3.103 -3.516 0.951
O -7.472 -5.293 0.144
O -13.357 -8.555 1.154
O -10.058 -4.358 2.932
O -4.235 -1.163 1.899
```